# 1
A plane-wave DFT calculation with GGA-PBE was carried out for ErAlRe after structural relaxation.

```
ErAlRe
1.0
-4.4399 2.8532 -0.8697
-3.3700 -1.4396 -3.9668
-4.8114 -2.0745 1.3085
Re Al Er
2 2 2
Cartesian
0.0000 0.0000 0.0000
-2.2200 1.4266 -0.4349
-4.6256 0.3894 0.2194
-3.9049 0.7068 -2.4183
-5.6973 -1.8890 -1.7841
-6.9239 1.2282 -1.7440
```

Results
- polymorph energy (0 for the lowest one) (eV/atom) = 0.000
- density of states at the Fermi level (states/eV/atom) = 0.692
- energy of formation (eV per atom) = -0.39
- total magnetization (Bohr magnetons per cell) = 0.000
- symmetry = Imma, No. 74
- calculated volume (Å³/cell) = 111.88

# 2
A plane-wave DFT calculation with GGA-PBE was carried out for HfPtSe2 after structural relaxation.

```
HfPtSe2
1.0
-0.1247 -1.0240 -4.6719
1.0482 -4.5658 0.9728
-7.0614 -4.4041 -1.2961
Se Hf Pt
4 2 2
Cartesian
-1.1250 -4.0755 -0.2677
-4.4807 -8.2257 -4.2021
-4.9570 -5.3677 -2.3660
-1.7131 -2.3188 -3.1547
-2.7757 -5.8824 -1.0864
0.4618 -2.7949 -1.8496
0.0000 0.0000 0.0000
-3.3621 -4.1115 -3.9088
```

Results
- polymorph energy (0 for the lowest one) (eV/atom) = 0.057
- E_form (uncorrected) (eV/atom) = -0.513
- density of states at the Fermi level (states/eV/atom) = 0.063
- total magnetization (Bohr magnetons per cell) = 0.000
- symmetry = I-42d, No. 122
- calculated volume (Å³/cell) = 176.56

# 3
A plane-wave DFT calculation with GGA-PBE was carried out for BaSc2P after structural relaxation.

```
BaSc2P
1.0
-1.7762 1.9662 8.2701
1.7762 -1.9662 8.2701
1.7762 1.9662 -8.2701
P Sc Ba
1 2 1
Cartesian
0.0000 1.9662 4.4392
0.0000 0.0000 14.8673
1.7762 0.0000 4.2459
0.0000 0.0000 9.5282
```

Results
- density of states at the Fermi level (states/eV/atom) = 1.138
- energy of formation (eV per atom) = -0.39
- total magnetization (Bohr magnetons per cell) = 1.072
- symmetry = Imm2, No. 44
- calculated volume (Å³/cell) = 115.53

# 4
A plane-wave DFT calculation with GGA-PBE was carried out for Th5Te5Au after structural relaxation.

```
Th5Te5Au
1.0
6.2527 0.0000 0.0000
-3.1264 6.9238 -0.1256
0.0000 -2.7443 8.4550
Th Te Au
5 5 1
Cartesian
0.0000 1.3221 2.6405
0.0000 0.0118 7.1297
3.1264 4.1677 1.1998
3.1264 2.8574 5.6889
3.1264 0.0000 0.0000
3.1264 1.3462 2.8787
0.0000 2.8333 5.4508
0.0000 -1.3722 4.2275
3.1264 -0.1036 6.7597
0.0000 4.2831 1.5697
0.0000 0.0000 0.0000
```

Results
- E_form (uncorrected) (eV/atom) = -1.027
- density of states at the Fermi level (states/eV/atom) = 0.652
- total magnetization (Bohr magnetons per cell) = 0.000
- symmetry = C2/m, No. 12
- calculated volume (Å³/cell) = 363.88

# 5
A plane-wave DFT calculation with GGA-PBE was carried out for Pu2Al9Pd3 after structural relaxation.

```
Pu2Al9Pd3
1.0
7.0665 -0.0265 -2.9685
-4.1538 6.4416 -0.0093
0.2680 0.1995 10.5155
Al Pd Pu
18 6 4
Cartesian
6.1015 0.1198 -1.9263
0.7509 4.2932 8.3794
0.3410 0.9898 4.1208
3.6746 3.1327 2.1236
2.4298 2.3214 -0.8417
4.4990 2.1570 7.3927
-2.9208 6.4949 9.4640
2.8397 5.6248 3.4169
-0.4938 3.4819 5.4141
-0.3831 6.0545 6.5006
-2.6930 5.6638 2.2586
3.1977 1.3240 4.3091
3.5638 0.5601 1.0371
1.9934 4.7011 5.9094
-0.0170 5.2906 3.2286
-1.3183 4.4576 0.1450
5.8737 0.9509 5.2791
1.1873 1.9136 1.6283
-2.1709 5.4444 4.7683
3.1186 4.2425 -2.4704
0.0622 2.3721 10.0081
5.3516 1.1703 2.7694
1.5904 3.3073 3.7688
3.5333 -0.0133 -1.4843
1.6488 4.8757 0.6474
1.5320 1.7389 6.8903
4.8281 3.8876 4.9198
-1.6474 2.7270 2.6179
```

Results
- density of states at the Fermi level (states/eV/atom) = 1.808
- energy of formation (eV per atom) = -0.60
- total magnetization (Bohr magnetons per cell) = 22.975
- symmetry = C2/c, No. 15
- calculated volume (Å³/cell) = 485.11

# 6
A plane-wave DFT calculation with GGA-PBE was carried out for Ac3Nd2Sn3 after structural relaxation.

```
Ac3Nd2Sn3
1.0
4.4822 0.0000 0.0000
0.0000 5.2129 0.0000
-2.2411 -2.6065 11.8957
Sn Ac Nd
3 3 2
Cartesian
2.2411 2.6065 8.3029
0.0000 2.6065 0.0000
0.0000 0.0000 3.5929
2.2411 0.0000 0.0000
0.0000 0.0000 9.0880
2.2411 2.6065 2.8077
2.2411 0.0000 6.1049
0.0000 2.6065 5.7909
```

Results
- polymorph energy (0 for the lowest one) (eV/atom) = 0.136
- density of states at the Fermi level (states/eV/atom) = 1.032
- energy of formation (eV per atom) = -0.51
- total magnetization (Bohr magnetons per cell) = 0.000
- symmetry = Immm, No. 71
- calculated volume (Å³/cell) = 277.94

# 7
A plane-wave DFT calculation with GGA-PBE was carried out for Dy3Tl4BiTe8 after structural relaxation.

```
Dy3Tl4BiTe8
1.0
8.9765 0.0000 0.0000
0.0000 9.6401 0.4634
-4.4882 -4.4854 6.3499
Dy Te Bi Tl
3 8 1 4
Cartesian
4.4882 4.8200 0.2317
2.2441 2.5774 3.4067
-2.2441 2.5774 3.4067
6.6949 2.6301 0.2974
-2.2067 2.5247 6.5159
4.4882 4.7396 3.3478
0.0000 0.4151 3.4655
2.2067 2.5247 6.5159
4.4882 0.4248 3.4193
0.0000 4.7299 3.3940
2.2816 2.6301 0.2974
0.0000 4.8200 0.2317
2.2441 -2.2427 3.1750
-2.2441 -2.2427 3.1750
0.0000 0.0000 0.0000
4.4882 0.0000 0.0000
```

Results
- E_form (uncorrected) (eV/atom) = -0.863
- density of states at the Fermi level (states/eV/atom) = 0.002
- total magnetization (Bohr magnetons per cell) = 0.000
- symmetry = R-3m, No. 166
- calculated volume (Å³/cell) = 568.14

# 8
A plane-wave DFT calculation with GGA-PBE was carried out for CsYMn2Br8 after structural relaxation.

```
CsYMn2Br8
1.0
-4.6371 -0.5536 -5.0240
1.7202 -2.9596 -5.9441
-4.1546 -11.1218 0.3776
Br Mn Y Cs
8 2 1 1
Cartesian
-0.9791 -6.4328 -6.1754
-3.6329 -4.7404 -4.0940
-4.4356 -5.9022 -7.5933
-5.9382 -12.9604 -7.1386
-4.5307 -8.0158 -2.7229
-1.1334 -1.6746 -3.4519
-2.0566 -9.7297 -4.9991
-5.5798 -9.0843 -6.1866
-5.2500 -10.8085 -8.0109
-1.8215 -3.8265 -2.5796
-3.5358 -7.3175 -5.2952
0.0000 0.0000 0.0000
```

Results
- E_form (uncorrected) (eV/atom) = -1.276
- density of states at the Fermi level (states/eV/atom) = 0.000
- total magnetization (Bohr magnetons per cell) = 10.000
- symmetry = R32, No. 155
- calculated volume (Å³/cell) = 456.32

# 9
A plane-wave DFT calculation with GGA-PBE was carried out for BeIr2W after structural relaxation.

```
BeIr2W
1.0
-0.0155 -2.3267 -3.9153
4.2861 -1.4365 -0.5554
-2.7339 -0.4381 3.6162
Ir Be W
2 1 1
Cartesian
2.1353 -1.8816 -2.2353
0.0000 0.0000 0.0000
-0.3070 -2.3232 -1.2672
1.8438 -1.8781 0.4128
```

Results
- density of states at the Fermi level (states/eV/atom) = 0.402
- energy of formation (eV per atom) = -0.24
- total magnetization (Bohr magnetons per cell) = 0.000
- symmetry = I4/mmm, No. 139
- calculated volume (Å³/cell) = 55.34

# 10
A plane-wave DFT calculation with GGA-PBE was carried out for Li2TeCl6 after structural relaxation.

```
Li2TeCl6
1.0
6.5370 0.0000 -0.4551
0.0000 6.1831 0.0000
0.7628 0.0000 11.0123
Cl Li Te
12 4 2
Cartesian
6.1724 4.4864 10.6354
1.3854 1.4353 3.6102
5.0353 1.6563 8.8888
2.2645 4.5268 1.6684
2.5224 4.7883 5.3568
4.7774 1.3948 5.2004
1.6403 1.4348 7.2427
2.7725 4.5263 9.0482
1.1275 1.6968 -0.0782
5.9145 4.7479 6.9470
5.6596 4.7484 3.3144
4.5274 1.6568 1.5090
7.1659 3.0853 8.6295
3.5160 0.0063 3.3509
0.1339 3.0979 1.9277
3.7839 6.1768 7.2063
3.2685 3.0916 -0.2276
0.3814 0.0000 5.5062
```

Results
- polymorph energy (0 for the lowest one) (eV/atom) = 0.000
- E_form (uncorrected) (eV/atom) = -1.121
- density of states at the Fermi level (states/eV/atom) = 0.000
- total magnetization (Bohr magnetons per cell) = 0.000
- symmetry = P2_1/c, No. 14
- calculated volume (Å³/cell) = 447.26

# 11
A plane-wave DFT calculation with GGA-PBE was carried out for CeCdCuIr after structural relaxation.

```
CeCdCuIr
1.0
4.7886 0.0000 0.0000
2.3943 4.1470 0.0000
2.3943 1.3823 3.9099
Ir Ce Cu Cd
1 1 1 1
Cartesian
2.3943 1.3823 0.9775
0.0000 0.0000 0.0000
7.1829 4.1470 2.9324
4.7886 2.7647 1.9549
```

Results
- density of states at the Fermi level (states/eV/atom) = 1.010
- energy of formation (eV per atom) = -0.22
- total magnetization (Bohr magnetons per cell) = 0.000
- symmetry = F-43m, No. 216
- calculated volume (Å³/cell) = 77.64

# 12
A plane-wave DFT calculation with GGA-PBE was carried out for K2YAs2S6 after structural relaxation.

```
K2YAs2S6
1.0
7.1188 0.0000 0.0000
-3.5594 5.8651 -0.2051
0.0000 -3.6019 7.5317
K S Y As
2 6 1 2
Cartesian
0.0000 0.5509 6.0934
3.5594 1.7123 1.2333
3.5594 0.8352 4.2988
0.0000 1.4280 3.0279
-1.7478 4.4387 1.4315
5.3072 -2.1755 5.8952
1.7478 4.4387 1.4315
1.8116 -2.1755 5.8952
3.5594 -1.8009 3.7659
0.0000 -0.1257 1.4356
3.5594 2.3888 5.8911
```

Results
- E_form (uncorrected) (eV/atom) = -0.830
- density of states at the Fermi level (states/eV/atom) = 0.329
- total magnetization (Bohr magnetons per cell) = 0.000
- symmetry = C2/m, No. 12
- calculated volume (Å³/cell) = 309.21